# FeAuI3 SCAN single point on PBEsol structure
# energy above the most stable polymorph in this dataset = 0 meV per atom
# N(E_F) = 3.86 states/eV/cell
# E_form (uncorrected) = 0.555 eV per atom
data_FeAuI3
_chemical_formula_sum 'Fe1 Au1 I3'
_cell_length_a 5.2115
_cell_length_b 5.2115
_cell_length_c 5.2115
_cell_angle_alpha 90.00
_cell_angle_beta 90.00
_cell_angle_gamma 90.00
_symmetry_space_group_name_H-M 'P m -3 m'
_symmetry_Int_Tables_number 221
_symmetry_space_group_name_Hall '-P 4 2 3'
loop_
_atom_site_label
_atom_site_type_symbol
_atom_site_fract_x
_atom_site_fract_y
_atom_site_fract_z
Fe1 Fe 0.0000 0.0000 0.0000
Au1 Au 0.5000 0.5000 0.5000
I1 I 0.0000 0.0000 0.5000